# 1
The following is a PBE-GGA calculation of a relaxed CuOs2Cl crystal, from the Alexandria database.

Computed properties:
**ρ**: 12.7 g/cm3
**Fermi-level density of states**: 3.08 states/eV per cell
**Formation energy without anion corrections**: 721 meV per atom

a b c (Å): 6.047 6.047 3.830
angles (deg): 98.09 98.09 26.80
Fractional coordinates of all 4 atoms:
Cu 0.000 0.000 0.000
Os 0.295 0.295 0.776
Os 0.705 0.705 0.224
Cl 0.500 0.500 0.500

=====

# 2
The following is a PBE-GGA calculation of a relaxed PmTmO2 crystal, from the Alexandria database.

Computed properties:
**ρ**: 7.9 g/cm3
**Fermi-level density of states**: 0.32 states/eV per cell
**Formation energy without anion corrections**: -2880 meV per atom

a b c (Å): 6.978 6.978 6.978
angles (deg): 29.47 29.47 29.47
Fractional coordinates of all 4 atoms:
Pm 0.000 0.000 0.000
Tm 0.500 0.500 0.500
O 0.115 0.115 0.115
O 0.885 0.885 0.885

=====

What is the ρ in the second record? 7.9 g/cm3